Computed, not measured: a geometry-optimized NbI2BrCl2 structure at the PBE-GGA level of DFT.

Calculated values
- Theoretical density: 3690 kg/m3
- Volume: 37.32 Å³/atom
- Size of the total moment: 0.00 μB/atom
- Energy above the most stable polymorph in this dataset: 3.0 meV/atom
- SG: P-1 (2)
- Uncorrected energy: -3.912 eV/atom

Cell lengths 6.816, 7.419, 10.275 Å; angles 108.16, 92.89, 112.41 degrees
Fractional positions:
Nb  0.897  0.787  0.791
Nb  0.103  0.213  0.209
Br  0.775  0.834  0.043
Br  0.225  0.166  0.957
Cl  0.716  0.989  0.761
Cl  0.889  0.361  0.140
Cl  0.284  0.011  0.239
Cl  0.111  0.639  0.860
I  0.451  0.573  0.323
I  0.082  0.812  0.570
I  0.918  0.188  0.430
I  0.549  0.427  0.677

Computed, not measured: a geometry-optimized Nb2Se3S structure at the PBE-GGA level of DFT.

Calculated values
- Theoretical density: 5701 kg/m3
- Volume: 22.07 Å³/atom
- Size of the total moment: 0.03 μB/atom
- Energy above the most stable polymorph in this dataset: 3.3 meV/atom
- SG: P3m1 (156)
- Uncorrected energy: -6.682 eV/atom

Cell lengths 3.445, 3.445, 12.888 Å; angles 90.00, 90.00, 120.00 degrees
Fractional positions:
Se  0.000  0.000  0.377
Se  0.333  0.667  0.883
Se  0.333  0.667  0.619
Nb  0.667  0.333  0.751
Nb  0.667  0.333  0.243
S  0.000  0.000  0.127

Computed, not measured: a geometry-optimized Rb2RePtS6 structure at the PBE-GGA level of DFT.

Calculated values
- Theoretical density: 5711 kg/m3
- Volume: 21.65 Å³/atom
- Size of the total moment: 0.00 μB/atom
- SG: C2/m (12)
- Uncorrected energy: -4.713 eV/atom

Cell lengths 6.671, 6.671, 7.433 Å; angles 122.90, 122.90, 56.16 degrees
Fractional positions:
Pt  0.500  0.500  0.500
S  0.776  0.321  0.830
S  0.321  0.776  0.830
S  0.754  0.754  0.680
S  0.679  0.224  0.170
S  0.246  0.246  0.320
S  0.224  0.679  0.170
Rb  0.781  0.781  0.301
Rb  0.219  0.219  0.699
Re  0.000  0.000  0.000